CsYTe2N | Alexandria | GGA-PBE | optimized geometry; distance to the lowest polymorph of the same formula = 1394.4 meV per atom; N(E_F) = 4.61 states/eV/cell; symmetry = P4/mmm
1.0
-1.013 -6.149 -0.212
2.833 -0.657 5.516
-3.853 0.564 2.046
Cs Y Te N
1 1 2 1
Direct
0.000 0.000 0.000
0.500 0.500 0.500
0.000 0.500 0.000
0.500 0.000 0.000
0.000 0.000 0.500